! CdBi2Sb, relaxed, DFT PBE; values from VASP
! Total moment, μB/atom: 0.000
! Calculated total energy, eV/atom: -2.93
! Space group: R-3m, No. 166
! Raw formation energy, eV/atom: 0.27
! Excess energy over the best structure of this formula in the dataset, kJ/mol of formula units: 64
! Calculated volume, Å³/cell: 443.32
! DOS at the Fermi energy, states/eV/atom: 0.371
&SYSTEM
  ibrav = 0, nat = 12, ntyp = 3
/
ATOMIC_SPECIES
Cd 112.41 Cd.upf
Bi 208.98 Bi.upf
Sb 121.76 Sb.upf
CELL_PARAMETERS angstrom
4.111 0.000 0.000
-2.056 3.560 0.000
0.000 0.000 30.286
ATOMIC_POSITIONS crystal
Cd 0.000 0.000 0.000
Cd 0.333 0.667 0.667
Cd 0.667 0.333 0.333
Bi 0.000 0.000 0.100
Bi 0.000 0.000 0.900
Bi 0.333 0.667 0.566
Bi 0.333 0.667 0.767
Bi 0.667 0.333 0.233
Bi 0.667 0.333 0.434
Sb 0.000 0.000 0.500
Sb 0.333 0.667 0.167
Sb 0.667 0.333 0.833